VASP calculation (GGA-PBE) on crystalline Pm4Pr8Sm3 at its relaxed geometry.

Cell lengths 12.852, 12.852, 12.852 Å; angles 32.26, 32.26, 32.26 degrees
Element x y z (fractional)
Pm: 0.000 0.000 0.000
Pm: 0.164 0.164 0.164
Pm: 0.500 0.500 0.500
Pm: 0.836 0.836 0.836
Pr: 0.251 0.251 0.748
Pr: 0.251 0.748 0.251
Pr: 0.252 0.749 0.749
Pr: 0.254 0.254 0.254
Pr: 0.746 0.746 0.746
Pr: 0.748 0.251 0.251
Pr: 0.749 0.252 0.749
Pr: 0.749 0.749 0.252
Sm: 0.000 0.500 0.500
Sm: 0.500 0.000 0.500
Sm: 0.500 0.500 0.000

* DFT formation energy: 0.129 eV/atom
* E: -4.6309 eV/atom
* offset from the most stable computed form: 0.0 meV per atom
* total magnetic moment: 0.00 μB per cell
* density of states at the Fermi level: 25.1 states/eV/cell